w) Sn3MoI | PBE-GGA | optimized geometry

Computed properties:
SG ... Pm-3m

Cell: 5.3376 5.3376 5.3376 Å, 90.00 90.00 90.00°
Fractional positions:
Sn1 0.0000 0.0000 0.5000
Sn2 0.0000 0.5000 0.0000
Sn3 0.5000 0.0000 0.0000
Mo1 0.0000 0.0000 0.0000
I1 0.5000 0.5000 0.5000



x) Sn3MoI | PBE-GGA | optimized geometry

Computed properties:
SG ... Pm-3m

Cell: 5.7890 5.7890 5.7890 Å, 90.00 90.00 90.00°
Fractional positions:
Sn1 0.0000 0.0000 0.5000
Sn2 0.0000 0.5000 0.0000
Sn3 0.5000 0.0000 0.0000
Mo1 0.5000 0.5000 0.5000
I1 0.0000 0.0000 0.0000



Here is how they stack up, most stable first: w), x).